Entry 1:
This record from the Alexandria database describes an optimized crystal structure of Tb4Er3TmS8. The functional is PBE.

Unit cell a=7.7730 b=7.7730 c=19.1427 alpha=90.00 beta=90.00 gamma=120.00
Space group R-3m (No. 166, hexagonal axes)
Asymmetric unit:
Tb 0.0000 0.0000 0.0000 [3 per cell]
Tb 0.0000 0.5000 0.0000 [9 per cell]
Er 0.0000 0.5000 0.5000 [9 per cell]
Tm 0.0000 0.0000 0.5000 [3 per cell]
S 0.0000 0.0000 0.2478 [6 per cell]
S 0.0011 0.5006 0.2475 [18 per cell]

## Properties
The raw formation energy comes out at -1.98 eV/atom.

Entry 2:
This record from the Alexandria database describes an optimized crystal structure of Hg2Pb4N. The functional is PBE.

Unit cell a=5.253 b=5.253 c=15.021 alpha=90.00 beta=90.00 gamma=90.00
Space group I4/mmm (No. 139)
Asymmetric unit:
Hg 0.000 0.000 0.131 [4 per cell]
Pb 0.000 0.000 0.344 [4 per cell]
Pb 0.000 0.500 0.000 [4 per cell]
N 0.000 0.000 0.500 [2 per cell]

## Properties
The raw formation energy comes out at 0.37 eV/atom.

Entry 3:
This record from the Alexandria database describes an optimized crystal structure of La4Te2PtRh. The functional is PBE.

Unit cell a=7.451 b=4.302 c=8.084 alpha=90.00 beta=107.94 gamma=90.00
Space group P2/m (No. 10)
Asymmetric unit:
La 0.233 0.000 0.213 [2 per cell]
La 0.258 0.500 0.786 [2 per cell]
Te 0.000 0.000 0.500 [1 per cell]
Te 0.500 0.500 0.500 [1 per cell]
Pt 0.500 0.000 0.000 [1 per cell]
Rh 0.000 0.500 0.000 [1 per cell]

## Properties
The raw formation energy comes out at -1.26 eV/atom.